[1]
12
Lattice="9.276 -2.962 0.000 9.276 2.962 0.000 -4.347 0.000 7.874" Properties=species:S:1:pos:R:3 comment="La5Tb4Pr3 | the Alexandria database | PBE | optimized geometry" crystal_system=monoclinic space_group="C2/m (12)" formation_energy_ev_per_fu=2.602 e_tot_ev_per_cell=-54.89 pbc="T T T"
La 0.000 0.000 0.000
La 5.785 0.000 0.844
La 4.839 0.000 4.527
La 9.366 0.000 3.347
La 8.420 0.000 7.030
Tb -2.454 0.000 5.508
Tb 0.912 0.000 5.044
Tb 13.294 0.000 2.829
Tb 16.659 0.000 2.365
Pr 2.477 0.000 1.730
Pr 9.276 0.000 0.000
Pr 11.728 0.000 6.144

=====

[2]
4
Lattice="6.129 -1.849 0.000 6.129 1.849 0.000 -1.117 0.000 6.248" Properties=species:S:1:pos:R:3 comment="LaTbPr2 | the Alexandria database | PBE | optimized geometry" crystal_system=monoclinic space_group="C2/m (12)" formation_energy_ev_per_fu=0.072 e_tot_ev_per_cell=-19.05 polymorph_energy_mev_per_atom=4 pbc="T T T"
La 0.000 0.000 0.000
Tb 5.571 0.000 3.124
Pr 2.208 0.000 4.676
Pr 8.933 0.000 1.572

=====

[3]
11
Lattice="10.993 0.000 0.000 0.000 2.921 6.119 0.000 -2.921 6.119" Properties=species:S:1:pos:R:3 comment="La3Tb4Pr4 | the Alexandria database | PBE | optimized geometry" crystal_system=orthorhombic space_group="Amm2 (38)" formation_energy_ev_per_fu=1.596 e_tot_ev_per_cell=-50.83 polymorph_energy_mev_per_atom=16 pbc="T T T"
La 0.000 0.000 0.000
La 3.163 0.000 1.971
La 7.829 0.000 1.971
Tb 0.000 0.000 3.728
Tb 3.377 0.000 10.475
Tb 5.496 0.000 4.384
Tb 7.616 0.000 10.475
Pr 0.000 0.000 8.626
Pr 2.366 0.000 6.066
Pr 5.496 0.000 7.727
Pr 8.626 0.000 6.066